1.
## CrS2 (PBE)

Data for a relaxed CrS2 crystal.

abc: 2.807 2.807 6.659
angles: 102.11 102.11 90.00
Fractional coordinates of all 3 atoms:
Cr: 0.500 0.500 0.000
S: 0.109 0.109 0.219
S: 0.891 0.891 0.781

Calculated values
**N(E_F)**: 1.4 states/eV/cell
**Raw formation energy**: -0.2632 eV/atom
**Final energy**: -6.223 eV per atom
**Crystal system**: tetragonal


2.
## La2EuZn (PBE)

Data for a relaxed La2EuZn crystal.

abc: 3.832 3.832 8.996
angles: 90.00 90.00 90.00
Each line ends with the local moment (μB).
Fractional coordinates of all 4 atoms:
Eu: 0.500 0.500 0.500  7.01
Zn: 0.500 0.500 0.000  -0.02
La: 0.000 0.000 0.805  0.12
La: 0.000 0.000 0.195  0.12

Calculated values
**N(E_F)**: 4.9 states/eV/cell
**Final energy**: -5.480 eV per atom
**Crystal system**: tetragonal


3.
## SrReMo2 (PBE)

Data for a relaxed SrReMo2 crystal.

abc: 4.962 4.962 9.379
angles: 74.66 74.66 90.00
Fractional coordinates of all 8 atoms:
Re: 0.000 0.000 0.000
Re: 0.750 0.250 0.500
Mo: 0.875 0.125 0.250
Mo: 0.875 0.625 0.250
Mo: 0.375 0.125 0.750
Mo: 0.875 0.125 0.750
Sr: 0.500 0.500 0.000
Sr: 0.250 0.750 0.500

Calculated values
**N(E_F)**: 7.9 states/eV/cell
**Final energy**: -7.672 eV per atom
**Crystal system**: tetragonal


4.
## SiBO (PBE)

Data for a relaxed SiBO crystal.

abc: 3.931 3.051 11.230
angles: 90.00 93.82 90.00
Fractional coordinates of all 12 atoms:
Si: 0.211 0.000 0.030
Si: 0.211 0.500 0.530
Si: 0.933 0.000 0.354
Si: 0.933 0.500 0.854
B: 0.290 0.000 0.859
B: 0.290 0.500 0.359
B: 0.439 0.000 0.289
B: 0.439 0.500 0.789
O: 0.399 0.000 0.159
O: 0.399 0.500 0.659
O: 0.963 0.000 0.521
O: 0.963 0.500 0.021

Calculated values
**N(E_F)**: 0.1 states/eV/cell
**Raw formation energy**: -0.9256 eV/atom
**Final energy**: -6.612 eV per atom
**Crystal system**: monoclinic


5.
## YVB3 (PBE)

Data for a relaxed YVB3 crystal.

abc: 4.024 4.024 4.024
angles: 90.00 90.00 90.00
Fractional coordinates of all 5 atoms:
Y: 0.500 0.500 0.500
B: 0.000 0.500 0.000
B: 0.000 0.000 0.500
B: 0.500 0.000 0.000
V: 0.000 0.000 0.000

Calculated values
**N(E_F)**: 1.1 states/eV/cell
**Final energy**: -6.972 eV per atom
**Crystal system**: cubic


6.
## PrSm3In (PBE)

Data for a relaxed PrSm3In crystal.

abc: 4.943 4.921 13.122
angles: 90.00 79.14 90.00
Fractional coordinates of all 10 atoms:
Pr: 0.474 0.750 0.700
Pr: 0.174 0.250 0.300
Sm: 0.772 0.250 0.105
Sm: 0.375 0.250 0.899
Sm: 0.574 0.250 0.501
Sm: 0.274 0.750 0.101
Sm: 0.877 0.750 0.895
Sm: 0.074 0.750 0.499
In: 0.671 0.750 0.307
In: 0.978 0.250 0.693

Calculated values
**N(E_F)**: 15.5 states/eV/cell
**Final energy**: -4.519 eV per atom
**Crystal system**: orthorhombic


7.
## Ba3Rh (PBE)

Data for a relaxed Ba3Rh crystal.

abc: 10.913 10.913 4.272
angles: 90.00 90.00 120.00
Fractional coordinates of all 8 atoms:
Ba: 0.787 0.574 0.250
Ba: 0.426 0.213 0.250
Ba: 0.787 0.213 0.250
Ba: 0.213 0.426 0.750
Ba: 0.574 0.787 0.750
Ba: 0.213 0.787 0.750
Rh: 0.333 0.667 0.250
Rh: 0.667 0.333 0.750

Calculated values
**N(E_F)**: 7.9 states/eV/cell
**Final energy**: -3.253 eV per atom
**Crystal system**: hexagonal


8.
## V3ReP (PBE)

Data for a relaxed V3ReP crystal.

abc: 4.575 4.575 4.575
angles: 90.00 90.00 90.00
Each line ends with the local moment (μB).
Fractional coordinates of all 5 atoms:
Re: 0.000 0.000 0.000  -0.11
V: 0.000 0.500 0.000  0.37
V: 0.000 0.000 0.500  0.37
V: 0.500 0.000 0.000  0.37
P: 0.500 0.500 0.500  -0.03

Calculated values
**N(E_F)**: 6.6 states/eV/cell
**Final energy**: -7.735 eV per atom
**Crystal system**: cubic


9.
## Mg14Si5O24 (PBE)

Data for a relaxed Mg14Si5O24 crystal.

abc: 5.939 10.178 14.348
angles: 90.00 90.00 90.00
Fractional coordinates of all 86 atoms:
Mg: 0.756 0.419 0.669
Mg: 0.756 0.581 0.331
Mg: 0.244 0.919 0.831
Mg: 0.244 0.081 0.169
Mg: 0.244 0.581 0.331
Mg: 0.244 0.419 0.669
Mg: 0.756 0.081 0.169
Mg: 0.756 0.919 0.831
Mg: 0.000 0.320 0.324
Mg: 0.000 0.680 0.676
Mg: 0.000 0.820 0.176
Mg: 0.000 0.180 0.824
Mg: 0.760 0.246 0.502
Mg: 0.760 0.754 0.498
Mg: 0.240 0.746 0.998
Mg: 0.240 0.254 0.002
Mg: 0.240 0.754 0.498
Mg: 0.240 0.246 0.502
Mg: 0.760 0.254 0.002
Mg: 0.760 0.746 0.998
Mg: 0.500 0.500 0.500
Mg: 0.500 0.000 0.000
Mg: 0.500 0.854 0.325
Mg: 0.500 0.146 0.675
Mg: 0.500 0.354 0.175
Mg: 0.500 0.646 0.825
Mg: 0.500 0.000 0.500
Mg: 0.500 0.500 0.000
Si: 0.000 0.498 0.125
Si: 0.000 0.502 0.875
Si: 0.000 0.998 0.375
Si: 0.000 0.002 0.625
Si: 0.500 0.674 0.189
Si: 0.500 0.326 0.811
Si: 0.500 0.174 0.311
Si: 0.500 0.826 0.689
Si: 0.000 0.500 0.500
Si: 0.000 0.000 0.000
O: 0.718 0.247 0.262
O: 0.718 0.753 0.738
O: 0.282 0.747 0.238
O: 0.282 0.253 0.762
O: 0.282 0.753 0.738
O: 0.282 0.247 0.262
O: 0.718 0.253 0.762
O: 0.718 0.747 0.238
O: 0.785 0.075 0.926
O: 0.785 0.925 0.074
O: 0.215 0.575 0.574
O: 0.215 0.425 0.426
O: 0.215 0.925 0.074
O: 0.215 0.075 0.926
O: 0.785 0.425 0.426
O: 0.785 0.575 0.574
O: 0.766 0.079 0.587
O: 0.766 0.921 0.413
O: 0.234 0.579 0.913
O: 0.234 0.421 0.087
O: 0.234 0.921 0.413
O: 0.234 0.079 0.587
O: 0.766 0.421 0.087
O: 0.766 0.579 0.913
O: 0.500 0.972 0.740
O: 0.500 0.028 0.260
O: 0.500 0.472 0.760
O: 0.500 0.528 0.240
O: 0.500 0.669 0.075
O: 0.500 0.331 0.925
O: 0.500 0.169 0.425
O: 0.500 0.831 0.575
O: 0.500 0.672 0.414
O: 0.500 0.328 0.586
O: 0.500 0.172 0.086
O: 0.500 0.828 0.914
O: 0.000 0.995 0.258
O: 0.000 0.005 0.742
O: 0.000 0.653 0.086
O: 0.000 0.347 0.914
O: 0.000 0.153 0.414
O: 0.000 0.847 0.586
O: 0.000 0.646 0.424
O: 0.000 0.354 0.576
O: 0.000 0.146 0.076
O: 0.000 0.854 0.924
O: 0.000 0.505 0.758
O: 0.000 0.495 0.242

Calculated values
**N(E_F)**: 0.0 states/eV/cell
**Raw formation energy**: -2.7823 eV/atom
**Final energy**: -6.699 eV per atom
**Crystal system**: orthorhombic


10.
## Na8B11C5 (PBE)

Data for a relaxed Na8B11C5 crystal.

abc: 10.036 10.036 2.796
angles: 90.00 90.00 118.17
Fractional coordinates of all 24 atoms:
Na: 0.748 0.751 0.500
Na: 0.501 0.998 0.500
Na: 0.250 0.247 0.500
Na: 0.997 0.500 0.500
Na: 0.501 0.504 0.000
Na: 0.254 0.751 0.000
Na: 0.998 0.001 0.000
Na: 0.751 0.248 0.000
C: 0.553 0.803 0.000
C: 0.033 0.283 0.000
C: 0.206 0.957 0.500
C: 0.793 0.043 0.500
C: 0.707 0.456 0.500
B: 0.450 0.198 0.000
B: 0.286 0.035 0.000
B: 0.713 0.963 0.000
B: 0.948 0.700 0.000
B: 0.785 0.536 0.000
B: 0.186 0.436 0.000
B: 0.300 0.550 0.500
B: 0.057 0.809 0.500
B: 0.473 0.723 0.500
B: 0.559 0.307 0.500
B: 0.952 0.202 0.500

Calculated values
**N(E_F)**: 2.8 states/eV/cell
**Final energy**: -5.315 eV per atom
**Crystal system**: orthorhombic


11.
## InGe (PBE)

Data for a relaxed InGe crystal.

abc: 7.677 7.677 7.677
angles: 90.00 90.00 90.00
Fractional coordinates of all 12 atoms:
In: 0.250 0.000 0.500
In: 0.750 0.000 0.500
In: 0.000 0.500 0.250
In: 0.000 0.500 0.750
In: 0.500 0.250 0.000
In: 0.500 0.750 0.000
Ge: 0.250 0.500 0.000
Ge: 0.750 0.500 0.000
Ge: 0.500 0.000 0.250
Ge: 0.500 0.000 0.750
Ge: 0.000 0.250 0.500
Ge: 0.000 0.750 0.500

Calculated values
**N(E_F)**: 14.4 states/eV/cell
**Final energy**: -3.284 eV per atom
**Crystal system**: cubic


12.
## MgBe2Zn (PBE)

Data for a relaxed MgBe2Zn crystal.

abc: 4.272 4.272 4.845
angles: 80.70 80.70 38.20
Fractional coordinates of all 4 atoms:
Be: 0.012 0.012 0.932
Be: 0.488 0.488 0.568
Zn: 0.750 0.750 0.750
Mg: 0.250 0.250 0.250

Calculated values
**N(E_F)**: 0.8 states/eV/cell
**Final energy**: -2.264 eV per atom
**Crystal system**: monoclinic


13.
## BaNpB12 (PBE)

Data for a relaxed BaNpB12 crystal.

abc: 5.907 5.907 5.907
angles: 60.00 60.00 60.00
Each line ends with the local moment (μB).
Fractional coordinates of all 14 atoms:
Ba: 0.000 0.000 0.000  0.00
Np: 0.500 0.500 0.500  3.91
B: 0.900 0.900 0.600  -0.01
B: 0.400 0.400 0.100  -0.01
B: 0.600 0.900 0.600  -0.01
B: 0.100 0.400 0.100  -0.01
B: 0.900 0.600 0.600  -0.01
B: 0.400 0.100 0.100  -0.01
B: 0.900 0.600 0.900  -0.01
B: 0.400 0.100 0.400  -0.01
B: 0.600 0.900 0.900  -0.01
B: 0.100 0.400 0.400  -0.01
B: 0.600 0.600 0.900  -0.01
B: 0.100 0.100 0.400  -0.01

Calculated values
**N(E_F)**: 8.6 states/eV/cell
**Final energy**: -7.110 eV per atom
**Crystal system**: cubic


14.
## Nb (PBE)

Data for a relaxed Nb crystal.

abc: 7.390 7.390 7.390
angles: 90.00 90.00 90.00
Each line ends with the local moment (μB).
Fractional coordinates of all 12 atoms:
Nb: 0.250 0.000 0.500  0.53
Nb: 0.750 0.000 0.500  0.53
Nb: 0.000 0.500 0.250  0.53
Nb: 0.000 0.500 0.750  0.53
Nb: 0.500 0.250 0.000  0.53
Nb: 0.500 0.750 0.000  0.53
Nb: 0.000 0.750 0.500  0.53
Nb: 0.000 0.250 0.500  0.53
Nb: 0.750 0.500 0.000  0.53
Nb: 0.250 0.500 0.000  0.53
Nb: 0.500 0.000 0.750  0.53
Nb: 0.500 0.000 0.250  0.53

Calculated values
**N(E_F)**: 25.9 states/eV/cell
**Final energy**: -7.351 eV per atom
**Crystal system**: cubic


15.
## ZrTi2PbC (PBE)

Data for a relaxed ZrTi2PbC crystal.

abc: 4.257 4.257 4.699
angles: 90.00 90.00 90.00
Fractional coordinates of all 5 atoms:
Pb: 0.500 0.500 0.500
C: 0.000 0.000 0.000
Zr: 0.000 0.000 0.500
Ti: 0.000 0.500 0.000
Ti: 0.500 0.000 0.000

Calculated values
**N(E_F)**: 3.0 states/eV/cell
**Final energy**: -7.872 eV per atom
**Crystal system**: tetragonal


16.
## Np3CrAg3S8 (PBE)

Data for a relaxed Np3CrAg3S8 crystal.

abc: 7.863 7.862 7.653
angles: 120.98 90.00 120.01
Each line ends with the local moment (μB).
Fractional coordinates of all 15 atoms:
Np: 0.500 0.000 0.500  3.68
Np: 0.500 0.500 0.500  3.67
Np: 0.000 0.500 0.500  3.67
Cr: 0.000 0.000 0.500  3.12
Ag: 0.000 0.000 0.000  -0.02
Ag: 0.000 0.500 0.000  -0.02
Ag: 0.500 0.500 0.000  -0.02
S: 0.253 0.507 0.261  -0.09
S: 0.747 0.493 0.739  -0.09
S: 0.770 0.541 0.276  -0.10
S: 0.230 0.459 0.724  -0.10
S: 0.771 0.005 0.276  -0.10
S: 0.229 0.995 0.724  -0.10
S: 0.234 0.005 0.276  -0.10
S: 0.766 0.995 0.724  -0.10

Calculated values
**N(E_F)**: 33.0 states/eV/cell
**Raw formation energy**: -0.7990 eV/atom
**Final energy**: -6.800 eV per atom
**Crystal system**: trigonal


17.
## SiIrOs2O (PBE)

Data for a relaxed SiIrOs2O crystal.

abc: 4.778 3.130 4.778
angles: 90.00 90.00 90.00
Each line ends with the local moment (μB).
Fractional coordinates of all 5 atoms:
Si: 0.000 0.000 0.000  -0.02
Ir: 0.500 0.500 0.500  0.29
Os: 0.000 0.000 0.500  0.60
Os: 0.500 0.000 0.000  0.59
O: 0.000 0.500 0.000  0.06

Calculated values
**N(E_F)**: 5.6 states/eV/cell
**Raw formation energy**: 0.8187 eV/atom
**Final energy**: -7.522 eV per atom
**Crystal system**: tetragonal


18.
## Bi2Se3 (PBE)

Data for a relaxed Bi2Se3 crystal.

abc: 8.060 10.506 7.205
angles: 90.00 90.00 90.00
Fractional coordinates of all 20 atoms:
Bi: 0.000 0.000 0.500
Bi: 0.500 0.500 0.000
Bi: 0.500 0.000 0.000
Bi: 0.000 0.500 0.500
Bi: 0.536 0.250 0.485
Bi: 0.964 0.750 0.985
Bi: 0.464 0.750 0.515
Bi: 0.036 0.250 0.015
Se: 0.178 0.934 0.839
Se: 0.322 0.434 0.339
Se: 0.322 0.066 0.339
Se: 0.822 0.434 0.161
Se: 0.822 0.066 0.161
Se: 0.678 0.566 0.661
Se: 0.678 0.934 0.661
Se: 0.178 0.566 0.839
Se: 0.411 0.250 0.841
Se: 0.089 0.750 0.341
Se: 0.589 0.750 0.159
Se: 0.911 0.250 0.659

Calculated values
**N(E_F)**: 0.0 states/eV/cell
**Raw formation energy**: -0.3040 eV/atom
**Final energy**: -3.947 eV per atom
**Crystal system**: orthorhombic


19.
## Zn5Ni6Ge (PBE)

Data for a relaxed Zn5Ni6Ge crystal.

abc: 4.170 5.593 6.608
angles: 90.00 71.60 90.00
Fractional coordinates of all 12 atoms:
Ni: 0.839 0.753 0.322
Ni: 0.839 0.247 0.322
Ni: 0.500 0.240 0.000
Ni: 0.500 0.760 0.000
Ni: 0.161 0.753 0.678
Ni: 0.161 0.247 0.678
Zn: 0.669 0.500 0.663
Zn: 0.326 0.000 0.347
Zn: 0.000 0.500 0.000
Zn: 0.674 0.000 0.653
Zn: 0.331 0.500 0.337
Ge: 0.000 0.000 0.000

Calculated values
**N(E_F)**: 7.3 states/eV/cell
**Final energy**: -4.054 eV per atom
**Crystal system**: orthorhombic